1.
Computed, not measured: an optimized crystal structure of SiBPd2 at the PBE level of DFT.

POSCAR file:
```
SiBPd2
1.0
5.1021 0.0000 0.0000
0.0000 5.1021 0.0000
2.5511 2.5511 5.1185
Si B Pd
2 2 4
direct
0.0000 0.0000 0.0000
0.7500 0.2500 0.5000
0.5000 0.5000 0.0000
0.2500 0.7500 0.5000
0.5675 0.1250 0.2500
0.1825 0.6250 0.2500
0.3750 0.4325 0.7500
0.8750 0.8175 0.7500
```

## Properties
Total magnetic moment, μB per atom: 0.0000
Space-group type: No. 122
Theoretical density, Mg/m³: 6.27
Crystal system: tetragonal
Polymorph energy (0 for the lowest one), meV/atom: 0.0
Total DFT energy (no corrections), Ry/atom: -0.4025

2.
Computed, not measured: an optimized crystal structure of LaAuS2 at the PBE level of DFT.

POSCAR file:
```
LaAuS2
1.0
-0.1381 4.3143 1.2463
-5.4476 -0.5920 1.4542
2.7971 -4.5677 8.6050
S Au La
4 2 2
direct
0.0867 0.8495 0.5827
0.4692 0.3493 0.3296
0.2970 0.3497 0.9578
0.9146 0.8492 0.2110
0.1917 0.0996 0.7703
0.1917 0.5996 0.7703
0.4996 0.8493 0.3953
0.8842 0.3491 0.1452
```

## Properties
Total magnetic moment, μB per atom: 0.0000
Space-group type: No. 11
Theoretical density, Mg/m³: 5.26
Crystal system: monoclinic
Polymorph energy (0 for the lowest one), meV/atom: 40.3
Total DFT energy (no corrections), Ry/atom: -0.4022